#one
This record from Alexandria describes a geometry-optimized Pm5ErTl4 structure. The functional is PBE.

M_tot: 0.000 μB/atom
crystal system: orthorhombic
volume: 679.7 Å³ per cell
SG: Pmmn (59)

Unit cell a=8.679 b=8.398 c=9.325 alpha=90.00 beta=90.00 gamma=90.00
Fractional coordinates of all 20 atoms:
Pm  0.267  0.762  0.806
Pm  0.267  0.238  0.806
Pm  0.671  0.500  0.000
Pm  0.267  0.762  0.194
Pm  0.267  0.238  0.194
Pm  0.733  0.738  0.306
Pm  0.733  0.262  0.306
Pm  0.329  0.000  0.500
Pm  0.733  0.262  0.694
Pm  0.733  0.738  0.694
Er  0.915  0.000  0.000
Er  0.085  0.500  0.500
Tl  0.999  0.000  0.666
Tl  0.565  0.832  0.000
Tl  0.565  0.168  0.000
Tl  0.999  0.000  0.334
Tl  0.001  0.500  0.166
Tl  0.435  0.668  0.500
Tl  0.435  0.332  0.500
Tl  0.001  0.500  0.834



#two
This record from Alexandria describes a geometry-optimized Pm5ErTl4 structure. The functional is PBE.

M_tot: 0.000 μB/atom
crystal system: tetragonal
volume: 300.9 Å³ per cell
SG: P4/mmm (123)

Unit cell a=3.684 b=3.684 c=22.174 alpha=90.00 beta=90.00 gamma=90.00
Fractional coordinates of all 10 atoms:
Pm  0.500  0.500  0.112
Pm  0.500  0.500  0.306
Pm  0.500  0.500  0.500
Pm  0.500  0.500  0.694
Pm  0.500  0.500  0.888
Er  0.000  0.000  0.000
Tl  0.000  0.000  0.209
Tl  0.000  0.000  0.403
Tl  0.000  0.000  0.597
Tl  0.000  0.000  0.791



Stability summary: most stable #two, least stable #one.



#one
This record from Alexandria describes a geometry-optimized Pm3Er3Tl2 structure. The functional is PBE.

M_tot: 0.000 μB/atom
crystal system: orthorhombic
volume: 502.4 Å³ per cell
SG: Cmcm (63)

Unit cell a=5.108 b=6.499 c=16.456 alpha=90.00 beta=90.00 gamma=113.14
Fractional coordinates of all 16 atoms:
Pm  0.955  0.910  0.396
Pm  0.045  0.090  0.896
Pm  0.955  0.910  0.104
Pm  0.045  0.090  0.604
Pm  0.722  0.443  0.250
Pm  0.278  0.557  0.750
Er  0.636  0.272  0.461
Er  0.364  0.728  0.961
Er  0.636  0.272  0.039
Er  0.364  0.728  0.539
Er  0.440  0.880  0.250
Er  0.560  0.120  0.750
Tl  0.765  0.529  0.873
Tl  0.235  0.471  0.373
Tl  0.765  0.529  0.627
Tl  0.235  0.471  0.127



#two
This record from Alexandria describes a geometry-optimized Pm3Er3Tl2 structure. The functional is PBE.

M_tot: 0.078 μB/atom
crystal system: orthorhombic
volume: 233.8 Å³ per cell
SG: Pmmm (47)

Unit cell a=4.852 b=4.874 c=9.888 alpha=90.00 beta=90.00 gamma=90.00
Fractional coordinates of all 8 atoms:
Pm  0.500  0.000  0.500
Pm  0.000  0.500  0.000
Pm  0.000  0.500  0.500
Er  0.500  0.500  0.752
Er  0.500  0.500  0.248
Er  0.500  0.000  0.000
Tl  0.000  0.000  0.753
Tl  0.000  0.000  0.247



Stability summary: most stable #two, least stable #one.



#one
This record from Alexandria describes a geometry-optimized PmEr6Tl structure. The functional is PBE.

M_tot: 0.000 μB/atom
crystal system: tetragonal
volume: 238.0 Å³ per cell
SG: P4/mmm (123)

Unit cell a=4.882 b=4.882 c=9.986 alpha=90.00 beta=90.00 gamma=90.00
Fractional coordinates of all 8 atoms:
Pm  0.000  0.000  0.000
Er  0.500  0.500  0.000
Er  0.500  0.500  0.500
Er  0.500  0.000  0.256
Er  0.500  0.000  0.744
Er  0.000  0.500  0.256
Er  0.000  0.500  0.744
Tl  0.000  0.000  0.500



#two
This record from Alexandria describes a geometry-optimized PmEr6Tl structure. The functional is PBE.

M_tot: 0.000 μB/atom
crystal system: orthorhombic
volume: 239.0 Å³ per cell
SG: Cmmm (65)

Unit cell a=4.961 b=6.940 c=6.940 alpha=90.07 beta=90.00 gamma=90.00
Fractional coordinates of all 8 atoms:
Pm  0.500  0.500  0.500
Er  0.000  0.748  0.252
Er  0.000  0.252  0.748
Er  0.000  0.749  0.749
Er  0.000  0.251  0.251
Er  0.500  0.500  0.000
Er  0.500  0.000  0.500
Tl  0.500  0.000  0.000



Stability summary: most stable #one, least stable #two.



#one
This record from Alexandria describes a geometry-optimized Pm3Er4Tl structure. The functional is PBE.

M_tot: 0.000 μB/atom
crystal system: orthorhombic
volume: 494.2 Å³ per cell
SG: Pmn2_1 (31)

Unit cell a=6.212 b=7.075 c=11.243 alpha=90.00 beta=90.00 gamma=90.00
Fractional coordinates of all 16 atoms:
Pm  0.624  0.629  0.000
Pm  0.974  0.616  0.237
Pm  0.474  0.384  0.263
Pm  0.124  0.371  0.500
Pm  0.474  0.384  0.737
Pm  0.974  0.616  0.763
Er  0.166  0.882  0.000
Er  0.646  0.128  0.000
Er  0.988  0.123  0.241
Er  0.488  0.877  0.259
Er  0.146  0.872  0.500
Er  0.666  0.118  0.500
Er  0.488  0.877  0.741
Er  0.988  0.123  0.759
Tl  0.154  0.360  0.000
Tl  0.654  0.640  0.500



#two
This record from Alexandria describes a geometry-optimized Pm3Er4Tl structure. The functional is PBE.

M_tot: 0.000 μB/atom
crystal system: tetragonal
volume: 247.1 Å³ per cell
SG: P4/mmm (123)

Unit cell a=4.120 b=4.120 c=14.552 alpha=90.00 beta=90.00 gamma=90.00
Fractional coordinates of all 8 atoms:
Tl  0.500  0.500  0.000
Er  0.000  0.000  0.889
Er  0.000  0.000  0.111
Er  0.000  0.000  0.368
Er  0.000  0.000  0.632
Pm  0.500  0.500  0.247
Pm  0.500  0.500  0.500
Pm  0.500  0.500  0.753



Stability summary: most stable #one, least stable #two.



#one
This record from Alexandria describes a geometry-optimized Pm3Er2Tl structure. The functional is PBE.

M_tot: 0.000 μB/atom
crystal system: monoclinic
volume: 378.3 Å³ per cell
SG: C2/c (15)

Unit cell a=6.833 b=6.483 c=9.301 alpha=98.55 beta=111.55 gamma=90.00
Fractional coordinates of all 12 atoms:
Pm  0.772  0.250  0.000
Pm  0.228  0.750  0.000
Pm  0.051  0.042  0.338
Pm  0.713  0.458  0.662
Pm  0.287  0.542  0.338
Pm  0.949  0.958  0.662
Er  0.772  0.571  0.325
Er  0.553  0.071  0.325
Er  0.447  0.929  0.675
Er  0.228  0.429  0.675
Tl  0.716  0.750  0.000
Tl  0.284  0.250  0.000



#two
This record from Alexandria describes a geometry-optimized Pm3Er2Tl structure. The functional is PBE.

M_tot: 0.000 μB/atom
crystal system: orthorhombic
volume: 185.2 Å³ per cell
SG: Cmmm (65)

Unit cell a=4.896 b=4.967 c=8.009 alpha=108.07 beta=90.00 gamma=90.00
Fractional coordinates of all 6 atoms:
Pm  0.500  0.170  0.340
Pm  0.500  0.500  0.000
Pm  0.500  0.830  0.660
Er  0.000  0.664  0.327
Er  0.000  0.336  0.673
Tl  0.000  0.000  0.000



Stability summary: most stable #two, least stable #one.



#one
This record from Alexandria describes a geometry-optimized Pm2ErTl4 structure. The functional is PBE.

M_tot: 0.000 μB/atom
crystal system: tetragonal
volume: 212.7 Å³ per cell
SG: I4/mmm (139)

Unit cell a=5.308 b=5.308 c=8.430 alpha=108.35 beta=108.35 gamma=90.00
Fractional coordinates of all 7 atoms:
Pm  0.749  0.749  0.499
Pm  0.251  0.251  0.501
Er  0.000  0.000  0.000
Tl  0.388  0.888  0.776
Tl  0.888  0.388  0.776
Tl  0.612  0.112  0.224
Tl  0.112  0.612  0.224



#two
This record from Alexandria describes a geometry-optimized Pm2ErTl4 structure. The functional is PBE.

M_tot: 0.000 μB/atom
crystal system: orthorhombic
volume: 434.6 Å³ per cell
SG: Cmmm (65)

Unit cell a=5.310 b=7.938 c=10.310 alpha=90.00 beta=90.00 gamma=90.00
Fractional coordinates of all 14 atoms:
Pm  0.500  0.000  0.789
Pm  0.500  0.000  0.211
Pm  0.500  0.500  0.711
Pm  0.500  0.500  0.289
Er  0.000  0.000  0.500
Er  0.000  0.500  0.000
Tl  0.000  0.750  0.750
Tl  0.000  0.250  0.250
Tl  0.000  0.250  0.750
Tl  0.000  0.750  0.250
Tl  0.500  0.789  0.500
Tl  0.500  0.211  0.500
Tl  0.500  0.711  0.000
Tl  0.500  0.289  0.000



Stability summary: most stable #two, least stable #one.